Entry from the Alexandria database: a geometry-optimized BaCa structure (GGA-PBE).

Cell and atoms, written as POSCAR:
```
BaCa
1.0
-3.5648 -0.3780 -2.1572
3.3583 -2.2395 -1.1001
-3.9825 -10.0723 8.3464
Ca Ba
2 2
Cartesian
-2.0351 -5.1471 4.2651
-4.2001 -8.4418 4.3630
-3.9380 -9.9598 8.2531
-2.2972 -3.6291 0.3750
```

Summary:
Relative energy among the computed polymorphs: 37 meV/atom


Entry from the Alexandria database: a geometry-optimized Ba3Ca structure (GGA-PBE).

Cell and atoms, written as POSCAR:
```
Ba3Ca
1.0
-3.2494 -0.8116 -5.9761
-3.4719 -1.2152 2.0529
-3.5630 7.0977 0.9733
Ca Ba
1 3
Cartesian
-3.3834 1.0648 -2.2315
-0.0283 0.0440 0.0094
-6.9009 4.0060 -0.7184
-3.4891 2.8972 1.5037
```

Summary:
Relative energy among the computed polymorphs: 2 meV/atom


Entry from the Alexandria database: a geometry-optimized Ba3Ca5 structure (GGA-PBE).

Cell and atoms, written as POSCAR:
```
Ba3Ca5
1.0
5.8881 0.0000 0.0000
0.0000 5.8924 0.0000
0.0000 0.0000 11.4671
Ba Ca
3 5
Cartesian
2.9441 0.0000 8.7300
2.9441 2.9462 5.5093
0.0000 2.9462 8.7290
0.0000 0.0000 0.2604
2.9441 0.0000 2.7348
0.0000 0.0000 5.4582
2.9441 2.9462 0.2463
0.0000 2.9462 2.7334
```

Summary:
Relative energy among the computed polymorphs: 0 meV/atom


Entry from the Alexandria database: a geometry-optimized Ba5Ca structure (GGA-PBE).

Cell and atoms, written as POSCAR:
```
Ba5Ca
1.0
11.5246 0.0123 0.0000
-10.6910 4.3033 0.0000
0.0000 0.0000 7.1681
Ba Ca
5 1
Cartesian
-10.6695 4.2992 0.0000
-3.2834 2.8725 0.0000
4.0518 1.4557 0.0000
-0.6883 2.3713 3.5841
6.4806 0.9866 3.5841
-8.2010 3.8224 3.5841
```

Summary:
Relative energy among the computed polymorphs: 12 meV/atom


Entry from the Alexandria database: a geometry-optimized BaCa structure (GGA-PBE).

Cell and atoms, written as POSCAR:
```
BaCa
1.0
13.8538 -0.0093 -0.0054
13.2221 4.1358 -0.0054
13.2221 2.0151 3.6117
Ca Ba
2 2
Cartesian
20.3273 3.0980 1.8163
9.8962 1.5082 0.8843
40.1174 6.1142 3.5847
30.4042 4.6338 2.7168
```

Summary:
Relative energy among the computed polymorphs: 36 meV/atom


Entry from the Alexandria database: a geometry-optimized BaCa8 structure (GGA-PBE).

Cell and atoms, written as POSCAR:
```
BaCa8
1.0
-6.4665 3.5058 -4.9231
1.5517 -5.7851 6.5167
1.4597 7.2492 4.8644
Ba Ca
1 8
Cartesian
0.0000 0.0000 0.0000
-1.0806 -2.7350 2.7611
-3.8342 0.4557 -1.1675
1.0175 0.4947 3.8457
-2.8001 0.9584 2.7410
-1.6918 3.6341 -0.0198
-0.6551 4.0114 3.7171
1.9938 0.9693 7.5354
-3.3150 7.1209 -0.0389
```


Entry from the Alexandria database: a geometry-optimized Ba2Ca structure (GGA-PBE).

Cell and atoms, written as POSCAR:
```
Ba2Ca
1.0
8.2192 0.0007 0.0073
7.1071 4.1284 0.0073
2.6108 0.7034 9.8330
Ba Ca
4 2
Cartesian
2.6055 0.7020 9.7406
5.9321 1.5982 3.3041
10.1383 2.7314 2.7188
16.0757 4.3310 6.1153
12.0409 3.2440 6.6080
6.6404 1.7890 9.2479
```

Summary:
Relative energy among the computed polymorphs: 16 meV/atom


Entry from the Alexandria database: a geometry-optimized Ba4Ca5 structure (GGA-PBE).

Cell and atoms, written as POSCAR:
```
Ba4Ca5
1.0
6.1473 0.0000 0.0000
3.0737 8.6669 0.0000
3.0737 0.0000 8.6669
Ba Ca
4 5
Cartesian
3.0736 2.7915 2.7878
6.1473 5.8791 2.7915
6.1473 2.7878 5.8754
9.2210 5.8754 5.8791
3.0737 0.0000 0.0000
6.1473 5.8895 8.6658
3.0736 0.0011 5.8895
9.2210 8.6658 2.7773
6.1473 2.7773 0.0011
```

Summary:
Relative energy among the computed polymorphs: 0 meV/atom


no.,E (eV per atom),Fermi-level density of states (states/eV/f.u.)
1,-1.90,2.86
2,-1.92,5.14
3,-1.94,11.42
4,-1.91,8.45
5,-1.90,3.23
6,-1.98,11.30
7,-1.90,5.13
8,-1.93,11.20